[1]
First-principles (SCAN) data for La2ScAu at its PBEsol-relaxed geometry, as listed in the Alexandria database.

Calculated values
The total magnetization comes out at 0.00 μB per formula unit. For the formation energy, the calculation gives -0.51 eV per atom. Its symmetry is No. 44. As for the energy above the most stable polymorph in this dataset: 0.000 eV/atom.

Cell lengths 3.630, 5.360, 6.410 Å; angles 114.71, 106.45, 90.00 degrees
Atoms (fractional coordinates):
Sc: 0.543 0.043 0.085
Au: 0.229 0.229 0.457
La: 0.972 0.472 0.944
La: 0.757 0.757 0.513



[2]
First-principles (SCAN) data for La2ScAu at its PBEsol-relaxed geometry, as listed in the Alexandria database.

Calculated values
The total magnetization comes out at 0.00 μB per formula unit. For the formation energy, the calculation gives -0.44 eV per atom. Its symmetry is No. 123. As for the energy above the most stable polymorph in this dataset: 0.073 eV/atom.

Cell lengths 3.829, 3.829, 7.463 Å; angles 90.00, 90.00, 90.00 degrees
Atoms (fractional coordinates):
Au: 0.500 0.500 0.500
La: 0.000 0.000 0.727
La: 0.000 0.000 0.273
Sc: 0.500 0.500 0.000



[3]
First-principles (SCAN) data for LaSc3Au at its PBEsol-relaxed geometry, as listed in the Alexandria database.

Calculated values
The total magnetization comes out at 0.00 μB per formula unit. For the formation energy, the calculation gives -0.28 eV per atom. Its symmetry is No. 221.

Cell lengths 5.184, 5.184, 5.184 Å; angles 90.00, 90.00, 90.00 degrees
Atoms (fractional coordinates):
Sc: 0.000 0.500 0.000
Sc: 0.000 0.000 0.500
Sc: 0.500 0.000 0.000
Au: 0.000 0.000 0.000
La: 0.500 0.500 0.500



[4]
First-principles (SCAN) data for LaSc2Au at its PBEsol-relaxed geometry, as listed in the Alexandria database.

Calculated values
The total magnetization comes out at 0.00 μB per formula unit. For the formation energy, the calculation gives -0.45 eV per atom. Its symmetry is No. 44. As for the energy above the most stable polymorph in this dataset: 0.000 eV/atom.

Cell lengths 3.602, 4.982, 6.081 Å; angles 114.18, 107.23, 90.00 degrees
Atoms (fractional coordinates):
Au: 0.517 0.517 0.033
La: 0.774 0.274 0.548
Sc: 0.996 0.996 0.993
Sc: 0.213 0.713 0.426



[5]
First-principles (SCAN) data for LaSc2Au at its PBEsol-relaxed geometry, as listed in the Alexandria database.

Calculated values
The total magnetization comes out at 0.00 μB per formula unit. For the formation energy, the calculation gives -0.34 eV per atom. Its symmetry is No. 47. As for the energy above the most stable polymorph in this dataset: 0.111 eV/atom.

Cell lengths 3.659, 4.917, 5.158 Å; angles 90.00, 90.00, 90.00 degrees
Atoms (fractional coordinates):
Au: 0.500 0.500 0.000
La: 0.000 0.500 0.500
Sc: 0.000 0.000 0.000
Sc: 0.500 0.000 0.500



[6]
First-principles (SCAN) data for LaScAu2 at its PBEsol-relaxed geometry, as listed in the Alexandria database.

Calculated values
The total magnetization comes out at 0.00 μB per formula unit. For the formation energy, the calculation gives -0.73 eV per atom. Its symmetry is No. 216.

Cell lengths 4.851, 4.851, 4.851 Å; angles 120.00, 120.00, 90.00 degrees
Atoms (fractional coordinates):
Au: 0.000 0.000 0.000
Au: 0.750 0.250 0.500
La: 0.500 0.500 0.000
Sc: 0.250 0.750 0.500



> total magnetization of number 4 (LaSc2Au)?

0.00 μB per formula unit



> Number 6 is which compound?

LaScAu2